Entry 1:
## ScPaAl2 (GGA-PBE)

Data for crystalline ScPaAl2 at its relaxed geometry.

Its formation energy is -0.16 eV/atom. The density of states at the Fermi level comes out at 1.40 states/eV per atom. For the spin magnetization, the calculation gives 0.5 μB/f.u.

Lattice parameters (Å, degrees): 4.9402 4.9402 4.9402 60.00 60.00 60.00
With the nearest neighbours (Å) after each atom.
Atoms (fractional coordinates):
Sc  0.5000  0.5000  0.5000  8 Al 3.03
Pa  0.0000  0.0000  0.0000  8 Al 3.03
Al  0.2500  0.2500  0.2500  4 Pa 3.03, 4 Sc 3.03
Al  0.7500  0.7500  0.7500  4 Sc 3.03, 4 Pa 3.03

***

Entry 2:
## TmThGa (GGA-PBE)

Data for crystalline TmThGa at its relaxed geometry.

Its formation energy is -0.15 eV/atom. The density of states at the Fermi level comes out at 0.55 states/eV per atom. For the spin magnetization, the calculation gives 0.0 μB/f.u.

Lattice parameters (Å, degrees): 4.0362 4.8470 4.8470 120.00 90.00 90.00
With the nearest neighbours (Å) after each atom.
Atoms (fractional coordinates):
Tm  0.1834  0.3333  0.6667  3 Ga 2.80
Ga  0.1418  0.0000  0.0000  3 Tm 2.80
Th  0.6748  0.6667  0.3333  6 Ga 3.37-3.53, 6 Tm 3.43-3.47

***

Entry 3:
## LiTeP2O (GGA-PBE)

Data for crystalline LiTeP2O at its relaxed geometry.

The density of states at the Fermi level comes out at 0.56 states/eV per atom. For the spin magnetization, the calculation gives 0.0 μB/f.u. For the total energy, the calculation gives -3.786 eV/atom.

Lattice parameters (Å, degrees): 4.7334 4.7334 3.4981 90.00 90.00 90.00
With the nearest neighbours (Å) after each atom.
Atoms (fractional coordinates):
P  0.0000  0.5000  0.0000  2 Li 2.37
P  0.5000  0.0000  0.0000  2 Li 2.37
Te  0.5000  0.5000  0.5000  8 P 2.94
O  0.0000  0.0000  0.5000  2 Li 1.75
Li  0.0000  0.0000  0.0000  2 O 1.75

***

Entry 4:
## LaCuNi2H8 (GGA-PBE)

Data for crystalline LaCuNi2H8 at its relaxed geometry.

The density of states at the Fermi level comes out at 0.16 states/eV per atom. For the spin magnetization, the calculation gives 0.0 μB/f.u. For the total energy, the calculation gives -4.104 eV/atom.

Lattice parameters (Å, degrees): 4.4646 4.4646 6.1574 68.74 68.74 60.00
With the nearest neighbours (Å) after each atom.
Atoms (fractional coordinates):
La  0.5000  0.5000  0.5000  12 H 2.40-2.65
Cu  0.0000  0.0000  0.0000  6 H 1.72
Ni  0.3013  0.3013  0.0962  4 H 1.64-1.65
Ni  0.6987  0.6987  0.9038  4 H 1.64-1.65
H  0.2028  0.2028  0.3915  1 Ni 1.65
H  0.6340  0.3161  0.1412  1 Ni 1.64, 1 Cu 1.72
H  0.7972  0.7972  0.6085  1 Ni 1.65
H  0.9087  0.6340  0.1412  1 Ni 1.64, 1 Cu 1.72
H  0.0913  0.3660  0.8588  1 Ni 1.64, 1 Cu 1.72
H  0.3161  0.9087  0.1412  1 Ni 1.64, 1 Cu 1.72
H  0.6839  0.0913  0.8588  1 Ni 1.64, 1 Cu 1.72
H  0.3660  0.6839  0.8588  1 Ni 1.64, 1 Cu 1.72

***

Entry 5:
## LaPdRu (GGA-PBE)

Data for crystalline LaPdRu at its relaxed geometry.

Its formation energy is -0.23 eV/atom. The density of states at the Fermi level comes out at 1.06 states/eV per atom. For the spin magnetization, the calculation gives 0.0 μB/f.u.

Lattice parameters (Å, degrees): 5.9606 4.5403 9.3264 90.00 107.50 90.00
With the nearest neighbours (Å) after each atom.
Atoms (fractional coordinates):
La  0.8429  0.0000  0.0276  3 Ru 2.82-2.93, 4 Pd 2.83-3.15
La  0.8429  0.5000  0.5276  3 Ru 2.82-2.93, 4 Pd 2.83-3.15
La  0.2271  0.0000  0.7544  3 Ru 2.76-3.00, 3 Pd 2.98-3.02
La  0.2271  0.5000  0.2544  3 Ru 2.76-3.00, 3 Pd 2.98-3.02
Pd  0.4053  0.0000  0.0889  5 Ru 2.79-3.03, 4 La 2.83-3.11
Pd  0.4053  0.5000  0.5889  5 Ru 2.79-3.03, 4 La 2.83-3.11
Pd  0.0118  0.0000  0.3816  4 Ru 2.97-3.16, 5 La 2.97-3.15
Pd  0.0118  0.5000  0.8816  4 Ru 2.97-3.16, 5 La 2.97-3.15
Ru  0.5310  0.0000  0.4124  1 Ru 2.66, 2 Pd 2.88-2.97, 2 La 2.93
Ru  0.5310  0.5000  0.9124  1 Ru 2.66, 2 Pd 2.88-2.97, 2 La 2.93
Ru  0.6650  0.0000  0.7111  1 Ru 2.66, 2 La 2.76-2.82, 2 Pd 2.79
Ru  0.6650  0.5000  0.2111  1 Ru 2.66, 2 La 2.76-2.82, 2 Pd 2.79

***

Entry 6:
## SiAg2HgTe4 (GGA-PBE)

Data for crystalline SiAg2HgTe4 at its relaxed geometry.

The density of states at the Fermi level comes out at 0.20 states/eV per atom. For the spin magnetization, the calculation gives 0.0 μB/f.u. For the total energy, the calculation gives -3.104 eV/atom.

Lattice parameters (Å, degrees): 6.3996 6.3995 7.7886 114.25 114.25 90.02
With the nearest neighbours (Å) after each atom.
Atoms (fractional coordinates):
Si  0.5000  0.5000  0.0001  4 Te 2.57
Ag  0.7501  0.2501  0.5002  4 Te 2.79
Ag  0.2501  0.7501  0.5002  4 Te 2.79
Hg  0.0000  0.0000  0.0001  4 Te 2.93
Te  0.6033  0.6033  0.7549  1 Si 2.57, 2 Ag 2.79
Te  0.3967  0.8484  0.2452  1 Si 2.57, 2 Ag 2.79
Te  0.8484  0.3967  0.2452  1 Si 2.57, 2 Ag 2.79
Te  0.1516  0.1516  0.7549  1 Si 2.57, 2 Ag 2.79

***

Entry 7:
## Sm5YAl2 (GGA-PBE)

Data for crystalline Sm5YAl2 at its relaxed geometry.

Its formation energy is -0.02 eV/atom. The density of states at the Fermi level comes out at 1.53 states/eV per atom. For the spin magnetization, the calculation gives 0.0 μB/f.u.

Lattice parameters (Å, degrees): 5.3879 5.3879 19.8843 90.00 90.00 120.00
With the nearest neighbours (Å) after each atom.
Atoms (fractional coordinates):
Sm  0.0000  0.0000  0.3450  3 Al 3.29, 6 Sm 3.64-3.69, 3 Y 3.64
Sm  0.0000  0.0000  0.1550  3 Al 3.29, 6 Sm 3.64-3.69, 3 Y 3.64
Sm  0.6667  0.3333  0.2500  3 Y 3.11
Sm  0.0000  0.0000  0.8450  3 Al 3.29, 3 Y 3.64, 6 Sm 3.64-3.69
Sm  0.6667  0.3333  0.0555  4 Al 3.11-3.24
Sm  0.3333  0.6667  0.7500  3 Y 3.11
Sm  0.3333  0.6667  0.9445  4 Al 3.11-3.24
Sm  0.3333  0.6667  0.5555  4 Al 3.11-3.24
Sm  0.6667  0.3333  0.4445  4 Al 3.11-3.24
Sm  0.0000  0.0000  0.6550  3 Al 3.29, 3 Y 3.64, 6 Sm 3.64-3.69
Y  0.3333  0.6667  0.2500  2 Al 2.97, 3 Sm 3.11
Y  0.6667  0.3333  0.7500  2 Al 2.97, 3 Sm 3.11
Al  0.6667  0.3333  0.6008  1 Y 2.97, 7 Sm 3.11-3.29
Al  0.3333  0.6667  0.1008  1 Y 2.97, 7 Sm 3.11-3.29
Al  0.3333  0.6667  0.3992  1 Y 2.97, 7 Sm 3.11-3.29
Al  0.6667  0.3333  0.8992  1 Y 2.97, 7 Sm 3.11-3.29

***

Entry 8:
## NdTe2P (GGA-PBE)

Data for crystalline NdTe2P at its relaxed geometry.

The density of states at the Fermi level comes out at 0.51 states/eV per atom. For the spin magnetization, the calculation gives 0.0 μB/f.u. For the total energy, the calculation gives -4.100 eV/atom.

Lattice parameters (Å, degrees): 3.9623 3.9623 9.6435 78.14 78.14 60.00
With the nearest neighbours (Å) after each atom.
Atoms (fractional coordinates):
P  0.5000  0.5000  0.5000  6 Te 2.78
Te  0.1103  0.1103  0.6690  3 P 2.78, 1 Nd 3.10
Te  0.8897  0.8897  0.3310  3 P 2.78, 1 Nd 3.10
Nd  0.0000  0.0000  0.0000  2 Te 3.10

***

Entry 9:
## Li2CeEr2Mg5 (GGA-PBE)

Data for crystalline Li2CeEr2Mg5 at its relaxed geometry.

Its formation energy is 0.04 eV/atom. The density of states at the Fermi level comes out at 1.31 states/eV per atom. For the spin magnetization, the calculation gives 0.8 μB/f.u.

Lattice parameters (Å, degrees): 4.4552 10.5181 10.5181 90.00 90.00 90.00
With the nearest neighbours (Å) after each atom.
Atoms (fractional coordinates):
Li  0.0000  0.1129  0.6129  6 Mg 2.79-2.91, 1 Er 3.06
Li  0.0000  0.8871  0.3871  6 Mg 2.79-2.91, 1 Er 3.06
Li  0.0000  0.6129  0.8871  6 Mg 2.79-2.91, 1 Er 3.06
Li  0.0000  0.3871  0.1129  6 Mg 2.79-2.91, 1 Er 3.06
Ce  0.0000  0.0000  0.0000  8 Mg 3.25
Ce  0.0000  0.5000  0.5000  8 Mg 3.25
Er  0.0000  0.6813  0.1813  3 Li 3.06-3.18
Er  0.0000  0.3187  0.8187  3 Li 3.06-3.18
Er  0.0000  0.1813  0.3187  3 Li 3.06-3.18
Er  0.0000  0.8187  0.6813  3 Li 3.06-3.18
Mg  0.5000  0.2170  0.0609  2 Li 2.91, 1 Mg 3.04, 2 Ce 3.25
Mg  0.5000  0.7830  0.9391  2 Li 2.91, 1 Mg 3.04, 2 Ce 3.25
Mg  0.5000  0.0609  0.7830  2 Li 2.91, 1 Mg 3.04, 2 Ce 3.25
Mg  0.5000  0.7170  0.4391  2 Li 2.91, 1 Mg 3.04, 2 Ce 3.25
Mg  0.5000  0.9391  0.2170  2 Li 2.91, 1 Mg 3.04, 2 Ce 3.25
Mg  0.5000  0.2830  0.5609  2 Li 2.91, 1 Mg 3.04, 2 Ce 3.25
Mg  0.5000  0.5609  0.7170  2 Li 2.91, 1 Mg 3.04, 2 Ce 3.25
Mg  0.5000  0.4391  0.2830  2 Li 2.91, 1 Mg 3.04, 2 Ce 3.25
Mg  0.5000  0.5000  0.0000  4 Li 2.79, 4 Mg 3.04
Mg  0.5000  0.0000  0.5000  4 Li 2.79, 4 Mg 3.04

***

Entry 10:
## Ac7Ir2Rh2 (GGA-PBE)

Data for crystalline Ac7Ir2Rh2 at its relaxed geometry.

Its formation energy is -0.37 eV/atom. The density of states at the Fermi level comes out at 0.84 states/eV per atom. For the spin magnetization, the calculation gives 0.0 μB/f.u.

Lattice parameters (Å, degrees): 8.2137 7.4941 7.4941 114.84 92.71 92.71
With the nearest neighbours (Å) after each atom.
Atoms (fractional coordinates):
Ac  0.2716  0.9499  0.5740  1 Rh 2.95, 2 Ir 2.95-3.04
Ac  0.7284  0.4260  0.0501  1 Rh 2.95, 2 Ir 2.95-3.04
Ac  0.7284  0.0501  0.4260  1 Rh 2.95, 2 Ir 2.95-3.04
Ac  0.2716  0.5740  0.9499  1 Rh 2.95, 2 Ir 2.95-3.04
Ac  0.0000  0.0000  0.0000  2 Rh 2.79
Ac  0.6959  0.6360  0.6360  2 Ir 2.98, 2 Rh 3.08-3.24
Ac  0.3041  0.3640  0.3640  2 Ir 2.98, 2 Rh 3.08-3.24
Ir  0.5000  0.3165  0.6835  6 Ac 2.95-3.04
Ir  0.5000  0.6835  0.3165  6 Ac 2.95-3.04
Rh  0.9279  0.3319  0.3319  4 Ac 2.79-3.08, 1 Rh 2.86
Rh  0.0721  0.6681  0.6681  4 Ac 2.79-3.08, 1 Rh 2.86